Entry 1:
Material: Sc2VB2
Method: DFT, PBE
State: relaxed

Summary:
- Magnetic moment: 0.499 μB/atom
- Total DFT energy (no corrections): -7.312 eV/atom
- Calculated formation energy: -284 meV/atom

Cell and atoms, written as CIF:
```
data_Sc2VB2
_cell_length_a 6.214
_cell_length_b 6.214
_cell_length_c 3.511
_cell_angle_alpha 90.00
_cell_angle_beta 90.00
_cell_angle_gamma 90.00
_space_group_name_H-M_alt 'P 4/m b m'
_space_group_IT_number 127
_space_group_name_Hall '-P 4 2ab'
loop_
_atom_site_label
_atom_site_type_symbol
_atom_site_fract_x
_atom_site_fract_y
_atom_site_fract_z
_atom_site_occupancy
Sc1 Sc 0.185 0.315 0.000 1
V1 V 0.000 0.000 0.500 1
B1 B 0.098 0.598 0.500 1
```

=====

Entry 2:
Material: Pm3Zn3In
Method: DFT, PBE
State: relaxed

Summary:
- Magnetic moment: 0.000 μB/atom
- Total DFT energy (no corrections): -3.295 eV/atom
- Calculated formation energy: -322 meV/atom

Cell and atoms, written as CIF:
```
data_Pm3Zn3In
_cell_length_a 11.099
_cell_length_b 4.784
_cell_length_c 13.332
_cell_angle_alpha 90.00
_cell_angle_beta 104.10
_cell_angle_gamma 90.00
_space_group_name_H-M_alt 'C 1 2/m 1'
_space_group_IT_number 12
loop_
_space_group_symop_operation_xyz
'x,y,z'
'-x,-y,-z'
'-x,y,-z'
'x,-y,z'
'x+1/2,y+1/2,z'
'-x+1/2,-y+1/2,-z'
'-x+1/2,y+1/2,-z'
'x+1/2,-y+1/2,z'
loop_
_atom_site_label
_atom_site_type_symbol
_atom_site_fract_x
_atom_site_fract_y
_atom_site_fract_z
_atom_site_occupancy
Pm1 Pm 0.064 0.000 0.385 1
Pm2 Pm 0.086 0.000 0.910 1
Pm3 Pm 0.247 0.500 0.805 1
Zn1 Zn 0.044 0.500 0.228 1
Zn2 Zn 0.115 0.500 0.055 1
Zn3 Zn 0.117 0.500 0.550 1
In1 In 0.233 0.000 0.628 1
```

=====

Entry 3:
Material: La2Ag5Pt
Method: DFT, PBE
State: relaxed

Summary:
- Magnetic moment: 0.000 μB/atom
- Total DFT energy (no corrections): -4.104 eV/atom
- Calculated formation energy: -335 meV/atom

Cell and atoms, written as CIF:
```
data_La2Ag5Pt
_cell_length_a 4.242
_cell_length_b 17.628
_cell_length_c 9.969
_cell_angle_alpha 90.00
_cell_angle_beta 90.00
_cell_angle_gamma 90.00
_space_group_name_H-M_alt 'C m c m'
_space_group_IT_number 63
_space_group_name_Hall '-C 2c 2'
loop_
_atom_site_label
_atom_site_type_symbol
_atom_site_fract_x
_atom_site_fract_y
_atom_site_fract_z
_atom_site_occupancy
La1 La 0.000 0.000 0.000 1
La2 La 0.000 0.176 0.250 1
Ag1 Ag 0.000 0.203 0.609 1
Ag2 Ag 0.000 0.361 0.523 1
Ag3 Ag 0.000 0.391 0.250 1
Pt1 Pt 0.000 0.452 0.750 1
```

=====

Entry 4:
Material: PO2F2
Method: DFT, PBE
State: relaxed

Summary:
- Energy relative to the lowest polymorph listed for this composition: 394.0 meV per atom
- Magnetic moment: 0.385 μB/atom
- ΔE_f (raw): -0.508 eV/atom
- Total DFT energy (no corrections): -4.321 eV/atom

Cell and atoms, written as CIF:
```
data_PO2F2
_cell_length_a 3.943
_cell_length_b 3.943
_cell_length_c 3.357
_cell_angle_alpha 90.00
_cell_angle_beta 90.00
_cell_angle_gamma 90.00
_space_group_name_H-M_alt 'P 4/m m m'
_space_group_IT_number 123
_space_group_name_Hall '-P 4 2'
loop_
_atom_site_label
_atom_site_type_symbol
_atom_site_fract_x
_atom_site_fract_y
_atom_site_fract_z
_atom_site_occupancy
P1 P 0.000 0.000 0.000 1
O1 O 0.000 0.000 0.500 1
O2 O 0.500 0.500 0.500 1
F1 F 0.000 0.500 0.000 1
```

=====

Entry 5:
Material: CeY2AlC
Method: DFT, PBE
State: relaxed

Summary:
- Magnetic moment: 0.064 μB/atom
- Total DFT energy (no corrections): -6.700 eV/atom
- Calculated formation energy: -334 meV/atom

Cell and atoms, written as CIF:
```
data_CeY2AlC
_cell_length_a 4.925
_cell_length_b 4.925
_cell_length_c 4.862
_cell_angle_alpha 90.00
_cell_angle_beta 90.00
_cell_angle_gamma 90.00
_space_group_name_H-M_alt 'P 4/m m m'
_space_group_IT_number 123
_space_group_name_Hall '-P 4 2'
loop_
_atom_site_label
_atom_site_type_symbol
_atom_site_fract_x
_atom_site_fract_y
_atom_site_fract_z
_atom_site_occupancy
Ce1 Ce 0.000 0.000 0.000 1
Y1 Y 0.000 0.500 0.500 1
Al1 Al 0.500 0.500 0.000 1
C1 C 0.000 0.000 0.500 1
```

=====

Entry 6:
Material: RuRhW2
Method: DFT, PBE
State: relaxed

Summary:
- Energy relative to the lowest polymorph listed for this composition: 459.3 meV per atom
- Magnetic moment: 0.000 μB/atom
- Total DFT energy (no corrections): -10.254 eV/atom
- Calculated formation energy: 380 meV/atom

Cell and atoms, written as CIF:
```
data_RuRhW2
_cell_length_a 6.264
_cell_length_b 6.264
_cell_length_c 6.264
_cell_angle_alpha 90.00
_cell_angle_beta 90.00
_cell_angle_gamma 90.00
_space_group_name_H-M_alt 'F m -3 m'
_space_group_IT_number 225
_space_group_name_Hall '-F 4 2 3'
loop_
_atom_site_label
_atom_site_type_symbol
_atom_site_fract_x
_atom_site_fract_y
_atom_site_fract_z
_atom_site_occupancy
Ru1 Ru 0.000 0.000 0.000 1
Rh1 Rh 0.000 0.000 0.500 1
W1 W 0.250 0.250 0.250 1
```

=====

Entry 7:
Material: CsAsSBr2
Method: DFT, PBE
State: relaxed

Summary:
- Magnetic moment: 0.000 μB/atom
- ΔE_f (raw): -0.263 eV/atom
- Total DFT energy (no corrections): -2.858 eV/atom

Cell and atoms, written as CIF:
```
data_CsAsSBr2
_cell_length_a 6.077
_cell_length_b 6.077
_cell_length_c 4.699
_cell_angle_alpha 90.00
_cell_angle_beta 90.00
_cell_angle_gamma 90.00
_space_group_name_H-M_alt 'P 4/m m m'
_space_group_IT_number 123
_space_group_name_Hall '-P 4 2'
loop_
_atom_site_label
_atom_site_type_symbol
_atom_site_fract_x
_atom_site_fract_y
_atom_site_fract_z
_atom_site_occupancy
Cs1 Cs 0.000 0.000 0.000 1
As1 As 0.500 0.500 0.000 1
S1 S 0.500 0.500 0.500 1
Br1 Br 0.000 0.500 0.500 1
```

=====

Entry 8:
Material: Sm5Er2Tm5
Method: DFT, PBE
State: relaxed

Summary:
- Magnetic moment: 0.000 μB/atom
- Total DFT energy (no corrections): -4.568 eV/atom
- Calculated formation energy: 22 meV/atom

Cell and atoms, written as CIF:
```
data_Sm5Er2Tm5
_cell_length_a 15.037
_cell_length_b 5.010
_cell_length_c 11.245
_cell_angle_alpha 90.00
_cell_angle_beta 116.53
_cell_angle_gamma 90.00
_space_group_name_H-M_alt 'C 1 2/m 1'
_space_group_IT_number 12
loop_
_space_group_symop_operation_xyz
'x,y,z'
'-x,-y,-z'
'-x,y,-z'
'x,-y,z'
'x+1/2,y+1/2,z'
'-x+1/2,-y+1/2,-z'
'-x+1/2,y+1/2,-z'
'x+1/2,-y+1/2,z'
loop_
_atom_site_label
_atom_site_type_symbol
_atom_site_fract_x
_atom_site_fract_y
_atom_site_fract_z
_atom_site_occupancy
Sm1 Sm 0.000 0.000 0.000 1
Sm2 Sm 0.084 0.000 0.750 1
Sm3 Sm 0.166 0.000 0.499 1
Er1 Er 0.083 0.500 0.249 1
Tm1 Tm 0.000 0.500 0.500 1
Tm2 Tm 0.168 0.500 0.001 1
Tm3 Tm 0.249 0.000 0.248 1
```

=====

Entry 9:
Material: CdRuBr2
Method: DFT, PBE
State: relaxed

Summary:
- Energy relative to the lowest polymorph listed for this composition: 446.9 meV per atom
- Magnetic moment: 0.902 μB/atom
- ΔE_f (raw): 0.415 eV/atom
- Total DFT energy (no corrections): -2.969 eV/atom

Cell and atoms, written as CIF:
```
data_CdRuBr2
_cell_length_a 3.318
_cell_length_b 3.318
_cell_length_c 9.493
_cell_angle_alpha 90.00
_cell_angle_beta 90.00
_cell_angle_gamma 90.00
_space_group_name_H-M_alt 'P 4/m m m'
_space_group_IT_number 123
_space_group_name_Hall '-P 4 2'
loop_
_atom_site_label
_atom_site_type_symbol
_atom_site_fract_x
_atom_site_fract_y
_atom_site_fract_z
_atom_site_occupancy
Cd1 Cd 0.000 0.000 0.000 1
Ru1 Ru 0.000 0.000 0.500 1
Br1 Br 0.500 0.500 0.322 1
```

=====

Entry 10:
Material: KNd2PuSe4
Method: DFT, PBE
State: relaxed

Summary:
- Magnetic moment: 0.739 μB/atom
- ΔE_f (raw): -1.664 eV/atom
- Total DFT energy (no corrections): -6.527 eV/atom

Cell and atoms, written as CIF:
```
data_KNd2PuSe4
_cell_length_a 7.459
_cell_length_b 4.251
_cell_length_c 7.474
_cell_angle_alpha 90.00
_cell_angle_beta 108.96
_cell_angle_gamma 90.00
_space_group_name_H-M_alt 'P 1 2/m 1'
_space_group_IT_number 10
loop_
_space_group_symop_operation_xyz
'x,y,z'
'-x,-y,-z'
'-x,y,-z'
'x,-y,z'
loop_
_atom_site_label
_atom_site_type_symbol
_atom_site_fract_x
_atom_site_fract_y
_atom_site_fract_z
_atom_site_occupancy
K1 K 0.000 0.000 0.000 1
Nd1 Nd 0.000 0.500 0.500 1
Nd2 Nd 0.500 0.000 0.500 1
Pu1 Pu 0.500 0.500 0.000 1
Se1 Se 0.258 0.000 0.748 1
Se2 Se 0.264 0.500 0.264 1
```